Compound: TlH3N
Source: Alexandria via LeMat-Bulk
Functional: GGA-PBE
Structure: optimized geometry

calculated volume	193.5	Å³/cell
uncorrected energy	-4.008	eV per atom
relative energy among the computed polymorphs	355	meV/atom
M_tot	0.0	μB/cell
symmetry	No. 71
DOS(E_F)	4.06	states/eV per cell

Cell lengths 6.4840, 6.4840, 6.4840 Å; angles 120.75, 118.66, 90.52 degrees
With the nearest neighbours (Å) after each atom.
Element x y z (fractional)
Tl (0.2492, 0.0000, 0.2492)  2 Tl 3.30-3.32, 10 H 3.36-3.39
Tl (0.7508, 0.0000, 0.7508)  2 Tl 3.30-3.32, 10 H 3.36-3.39
H (0.3071, 0.1768, 0.8697)  1 N 1.02
H (0.3071, 0.4373, 0.1303)  1 N 1.02
H (0.4029, 0.5000, 0.9029)  1 H 1.28, 2 N 1.33
H (0.5971, 0.5000, 0.0971)  1 H 1.28, 2 N 1.33
H (0.6929, 0.5627, 0.8697)  1 N 1.02
H (0.6929, 0.8232, 0.1303)  1 N 1.02
N (0.3719, 0.3719, 0.0000)  2 H 1.02
N (0.6281, 0.6281, 0.0000)  2 H 1.02